1.
9
Lattice="3.940 0.000 0.000 0.000 6.914 4.193 0.000 -6.914 4.193" Properties=species:S:1:pos:R:3 comment="Dy2Tm3ZrTe2Os (PBE-GGA, optimized geometry)" crystal_system=orthorhombic spacegroup="No. 38" volume_a3_per_cell=228 e_tot_ev_per_cell=-54.63 pbc="T T T"
Dy 0.000 -4.207 4.193
Dy 0.000 4.207 4.193
Tm 1.970 0.000 0.372
Tm 1.970 -1.628 5.667
Tm 1.970 1.628 5.667
Zr 0.000 0.000 3.388
Te 1.970 -2.211 2.564
Te 1.970 2.211 2.564
Os 0.000 0.000 6.828

2.
9
Lattice="8.101 0.000 0.000 -4.051 7.016 0.000 0.000 0.000 3.848" Properties=species:S:1:pos:R:3 comment="Dy3Zr3Te2Os (PBE-GGA, optimized geometry)" crystal_system=hexagonal spacegroup="No. 189" volume_a3_per_cell=219 e_tot_ev_per_cell=-63.16 pbc="T T T"
Dy -1.614 2.796 0.000
Dy 3.228 0.000 0.000
Dy 2.436 4.220 0.000
Zr -3.084 5.342 1.924
Zr 0.966 1.674 1.924
Zr 6.168 0.000 1.924
Te 0.000 4.677 1.924
Te 4.051 2.339 1.924
Os 0.000 0.000 0.000

3.
12
Lattice="4.378 -6.542 0.000 4.378 6.542 0.000 -1.851 0.000 5.864" Properties=species:S:1:pos:R:3 comment="Dy4TlOs (PBE-GGA, optimized geometry)" crystal_system=monoclinic spacegroup="No. 15" volume_a3_per_cell=336 e_tot_ev_per_cell=-67.74 pbc="T T T"
Dy 1.669 4.338 5.582
Dy 1.282 0.975 3.576
Dy 4.310 4.338 3.214
Dy 2.207 -0.975 0.644
Dy 4.697 0.975 5.220
Dy 2.594 -4.338 2.650
Dy 5.623 -0.975 2.288
Dy 5.236 -4.338 0.282
Tl 3.915 1.636 1.466
Tl 2.990 -1.636 4.398
Os 3.915 -6.539 1.466
Os 2.990 6.539 4.398

4.
12
Lattice="7.366 0.000 0.000 0.000 4.330 0.000 0.000 0.000 8.807" Properties=species:S:1:pos:R:3 comment="DyTmOs (PBE-GGA, optimized geometry)" crystal_system=orthorhombic spacegroup="No. 62" volume_a3_per_cell=281 delta_e_f_ev_per_fu=-0.8 relative_energy_mev_per_atom=37 pbc="T T T"
Dy 1.091 1.082 0.616
Dy 2.592 3.247 5.020
Dy 4.774 1.082 3.787
Dy 6.275 3.247 8.191
Tm 0.149 1.082 5.841
Tm 3.534 3.247 1.438
Tm 3.832 1.082 7.370
Tm 7.217 3.247 2.966
Os 1.837 1.082 3.382
Os 1.846 3.247 7.785
Os 5.520 1.082 1.022
Os 5.529 3.247 5.426

5.
3
Lattice="0.000 3.314 3.314 3.314 0.000 3.314 3.314 3.314 0.000" Properties=species:S:1:pos:R:3 comment="DyTmOs (PBE-GGA, optimized geometry)" crystal_system=cubic spacegroup="No. 216" volume_a3_per_cell=73 delta_e_f_ev_per_fu=2.0 relative_energy_mev_per_atom=970 pbc="T T T"
Dy 0.000 0.000 0.000
Tm 1.657 1.657 1.657
Os 3.314 3.314 3.314

6.
12
Lattice="7.383 0.000 0.000 0.000 4.319 0.000 0.000 0.000 8.785" Properties=species:S:1:pos:R:3 comment="DyTmOs (PBE-GGA, optimized geometry)" crystal_system=orthorhombic spacegroup="No. 62" volume_a3_per_cell=280 delta_e_f_ev_per_fu=-0.9 relative_energy_mev_per_atom=0 pbc="T T T"
Dy 0.173 1.080 1.467
Dy 3.519 3.239 5.860
Dy 3.865 1.080 2.925
Dy 7.210 3.239 7.318
Tm 1.076 1.080 4.980
Tm 2.615 3.239 0.588
Tm 4.768 1.080 8.197
Tm 6.307 3.239 3.805
Os 1.804 3.239 3.342
Os 1.887 1.080 7.735
Os 5.496 3.239 1.050
Os 5.579 1.080 5.443

7.
3
Lattice="0.000 3.353 3.353 3.353 0.000 3.353 3.353 3.353 0.000" Properties=species:S:1:pos:R:3 comment="DyUOs (PBE-GGA, optimized geometry)" crystal_system=cubic spacegroup="No. 216" volume_a3_per_cell=75 delta_e_f_ev_per_fu=0.6 relative_energy_mev_per_atom=0 pbc="T T T"
Dy 0.000 0.000 0.000
U 3.353 3.353 3.353
Os 1.676 1.676 1.676

8.
3
Lattice="0.000 3.182 3.182 3.182 0.000 3.182 3.182 3.182 0.000" Properties=species:S:1:pos:R:3 comment="DyOsW (PBE-GGA, optimized geometry)" crystal_system=cubic spacegroup="No. 216" volume_a3_per_cell=64 delta_e_f_ev_per_fu=5.5 pbc="T T T"
Dy 0.000 0.000 0.000
Os 4.773 4.773 4.773
W 1.591 1.591 1.591